The following is a PBE calculation of a relaxed Cs2RbCI6 crystal, from Alexandria.

The electronic total energy comes out at -2.45 eV per atom. Its volume is 1868.3 Å³/cell.

The space group is Fm-3m (No. 225) and the conventional cell measures 12.3163, 12.3163 and 12.3163 Å, with angles of 90.00, 90.00 and 90.00 degrees. The asymmetric unit holds Cs at (0.2500, 0.2500, 0.2500), Rb at (0.0000, 0.0000, 0.0000), C at (0.0000, 0.0000, 0.5000) and I at (0.0000, 0.0000, 0.2843).

***

The following is a PBE calculation of a relaxed Cs2ReCI6 crystal, from Alexandria.

The electronic total energy comes out at -3.22 eV per atom. Its volume is 776.8 Å³/cell.

The space group is I4/mmm (No. 139) and the conventional cell measures 7.8973, 7.8973 and 12.4547 Å, with angles of 90.00, 90.00 and 90.00 degrees. The asymmetric unit holds Cs at (0.0000, 0.5000, 0.2500), Re at (0.0000, 0.0000, 0.0000), C at (0.0000, 0.0000, 0.5000), I at (0.0000, 0.0000, 0.2200) and I at (0.2465, 0.2465, 0.5000).

***

The following is a PBE calculation of a relaxed Cs2CSI6 crystal, from Alexandria.

The electronic total energy comes out at -2.48 eV per atom. Its volume is 707.9 Å³/cell.

The space group is I4/mmm (No. 139) and the conventional cell measures 7.8051, 7.8051 and 11.6195 Å, with angles of 90.00, 90.00 and 90.00 degrees. The asymmetric unit holds Cs at (0.0000, 0.5000, 0.2500), C at (0.0000, 0.0000, 0.0000), S at (0.0000, 0.0000, 0.5000), I at (0.0000, 0.0000, 0.2336) and I at (0.2413, 0.2413, 0.0000).